No. 1
VASP calculation (PBE) on an optimized crystal structure of Nd2SmDy6Er3.

Computed properties:
- Space group: C2/m, No. 12
- DFT formation energy: 0.2 eV/f.u.

Geometry as POSCAR:
```
Nd2SmDy6Er3
1.0
-4.185 0.085 4.537
5.218 -3.227 0.679
4.829 10.374 2.865
Dy Nd Sm Er
6 2 1 3
direct
0.085 0.419 0.254
0.419 0.085 0.254
0.248 0.248 0.746
0.915 0.581 0.746
0.752 0.752 0.254
0.581 0.915 0.746
0.333 0.667 0.000
0.667 0.333 0.000
0.000 0.000 0.000
0.167 0.833 0.500
0.500 0.500 0.500
0.833 0.167 0.500
```


No. 2
VASP calculation (PBE) on an optimized crystal structure of Tb3SmGa.

Computed properties:
- Space group: C2/m, No. 12
- DFT formation energy: -0.3 eV/f.u.

Geometry as POSCAR:
```
Tb3SmGa
1.0
-4.461 0.730 5.953
6.082 -3.597 2.438
2.555 6.242 -3.203
Sm Ga Tb
2 2 6
direct
0.286 0.938 0.224
0.714 0.062 0.776
0.374 0.251 0.625
0.626 0.749 0.375
0.227 0.433 0.277
0.155 0.949 0.723
0.281 0.558 0.839
0.719 0.442 0.161
0.845 0.051 0.277
0.773 0.567 0.723
```


No. 3
VASP calculation (PBE) on an optimized crystal structure of BePF.

Computed properties:
- Space group: P222_1, No. 17
- Distance to the lowest polymorph of the same formula: 35 meV/atom

Geometry as POSCAR:
```
BePF
1.0
-1.912 -3.104 -1.260
4.577 -2.799 -0.050
-0.583 -1.014 3.382
F Be P
2 2 2
direct
0.793 0.000 0.500
0.207 0.000 0.000
0.000 0.810 0.250
0.000 0.190 0.750
0.313 0.500 0.500
0.687 0.500 0.000
```


No. 4
VASP calculation (PBE) on an optimized crystal structure of Pa2SiPd.

Computed properties:
- Space group: P4/mmm, No. 123
- Distance to the lowest polymorph of the same formula: 62 meV/atom

Geometry as POSCAR:
```
Pa2SiPd
1.0
4.315 0.000 0.000
0.000 4.329 0.000
0.000 0.000 4.329
Si Pa Pd
1 2 1
direct
0.500 0.000 0.000
0.000 0.000 0.500
0.000 0.500 0.000
0.500 0.500 0.500
```


Question: What is the formula in the fourth record?
Answer: Pa2SiPd